[1]
First-principles (SCAN) data for a PBEsol-optimized structure of La2ZrAlB, as listed in Alexandria.

Values from the calculation:
**N(E_F)**: 4.88 states/eV/f.u.
**Symmetry**: P4/mmm, No. 123
**Total magnetization**: 0.01 μB/cell
**Formation enthalpy at 0 K**: 1.156 eV/atom

extended XYZ file:
```
5
Lattice="5.5096 0.0000 0.0000 0.0000 5.5096 0.0000 0.0000 0.0000 5.0085" Properties=species:S:1:pos:R:3 pbc="T T T"
La 0.0000 2.7548 0.0000
La 2.7548 0.0000 0.0000
Zr 0.0000 0.0000 2.5042
Al 0.0000 0.0000 0.0000
B 2.7548 2.7548 2.5042
```

---

[2]
First-principles (SCAN) data for a PBEsol-optimized structure of Al2Rh, as listed in Alexandria.

Values from the calculation:
**N(E_F)**: 1.12 states/eV/f.u.
**Symmetry**: Fd-3m, No. 227
**Total magnetization**: 0.00 μB/cell
**Formation enthalpy at 0 K**: -0.980 eV/atom

extended XYZ file:
```
24
Lattice="0.0000 5.6123 5.6123 5.6123 0.0000 5.6123 5.6123 5.6123 0.0000" Properties=species:S:1:pos:R:3 pbc="T T T"
Al 0.0000 0.0000 0.0000
Al 2.8061 2.8061 0.0000
Al 2.8061 0.0000 2.8061
Al 4.2092 4.2092 1.9717
Al 4.2092 1.9717 4.2092
Al 6.4467 4.2092 4.2092
Al 7.0153 7.0153 4.7778
Al 7.0153 4.7778 7.0153
Al 9.2529 7.0153 7.0153
Al 0.0000 2.8061 2.8061
Al 1.9717 4.2092 4.2092
Al 4.2092 6.4467 4.2092
Al 4.2092 4.2092 6.4467
Al 4.7778 7.0153 7.0153
Al 7.0153 9.2529 7.0153
Al 7.0153 7.0153 9.2529
Rh 8.7336 5.2971 5.2971
Rh 2.4909 2.4909 2.4909
Rh 5.9275 5.9275 2.4909
Rh 5.9275 2.4909 5.9275
Rh 5.2971 8.7336 5.2971
Rh 5.2971 5.2971 8.7336
Rh 8.7336 8.7336 8.7336
Rh 2.4909 5.9275 5.9275
```

---

[3]
First-principles (SCAN) data for a PBEsol-optimized structure of CrCuSb2, as listed in Alexandria.

Values from the calculation:
**N(E_F)**: 2.21 states/eV/f.u.
**Symmetry**: P2/m, No. 10
**Total magnetization**: 3.01 μB/cell
**Raw formation energy**: 284 meV/atom

extended XYZ file:
```
4
Lattice="3.4476 0.0000 0.0000 0.0000 3.4447 0.0000 -0.0939 0.0000 6.0595" Properties=species:S:1:pos:R:3 pbc="T T T"
Cr 0.0000 0.0000 0.0000
Cu -0.0469 0.0000 3.0298
Sb 1.6356 1.7224 4.5722
Sb 1.7181 1.7224 1.4873
```

---

[4]
First-principles (SCAN) data for a PBEsol-optimized structure of LaReTe4, as listed in Alexandria.

Values from the calculation:
**N(E_F)**: 5.52 states/eV/f.u.
**Symmetry**: F-43m, No. 216
**Total magnetization**: 4.22 μB/cell
**Raw formation energy**: 747 meV/atom

extended XYZ file:
```
6
Lattice="0.0000 4.3727 4.3727 4.3727 0.0000 4.3727 4.3727 4.3727 0.0000" Properties=species:S:1:pos:R:3 pbc="T T T"
La 0.0000 0.0000 0.0000
Re 2.1864 2.1864 2.1864
Te 5.4626 3.2829 3.2829
Te 3.2829 5.4626 3.2829
Te 3.2829 3.2829 5.4626
Te 5.4626 5.4626 5.4626
```

---

[5]
First-principles (SCAN) data for a PBEsol-optimized structure of Ba2HfNbCr, as listed in Alexandria.

Values from the calculation:
**N(E_F)**: 4.41 states/eV/f.u.
**Symmetry**: P4/mmm, No. 123
**Total magnetization**: 6.47 μB/cell
**Formation enthalpy at 0 K**: 1.368 eV/atom

extended XYZ file:
```
5
Lattice="5.7231 0.0000 0.0000 0.0000 5.7231 0.0000 0.0000 0.0000 4.7813" Properties=species:S:1:pos:R:3 pbc="T T T"
Ba 0.0000 2.8616 0.0000
Ba 2.8616 0.0000 0.0000
Hf 0.0000 0.0000 2.3906
Nb 2.8616 2.8616 2.3906
Cr 0.0000 0.0000 0.0000
```

---

[6]
First-principles (SCAN) data for a PBEsol-optimized structure of RbAg2Pt2, as listed in Alexandria.

Values from the calculation:
**N(E_F)**: 2.39 states/eV/f.u.
**Symmetry**: I4/mmm, No. 139
**Total magnetization**: 0.00 μB/cell
**Formation enthalpy at 0 K**: 0.293 eV/atom

extended XYZ file:
```
10
Lattice="4.0079 0.0000 0.0000 0.0000 4.0079 0.0000 0.0000 0.0000 12.9386" Properties=species:S:1:pos:R:3 pbc="T T T"
Rb 0.0000 0.0000 0.0000
Rb 2.0039 2.0039 6.4693
Ag 0.0000 0.0000 5.0646
Ag 0.0000 0.0000 7.8740
Ag 2.0039 2.0039 1.4047
Ag 2.0039 2.0039 11.5339
Pt 0.0000 2.0039 3.2346
Pt 0.0000 2.0039 9.7039
Pt 2.0039 0.0000 3.2346
Pt 2.0039 0.0000 9.7039
```

---

[7]
First-principles (SCAN) data for a PBEsol-optimized structure of Zn2Ir, as listed in Alexandria.

Values from the calculation:
**N(E_F)**: 1.06 states/eV/f.u.
**Symmetry**: P-3m1, No. 164
**Total magnetization**: 0.00 μB/cell
**Formation enthalpy at 0 K**: -0.190 eV/atom

extended XYZ file:
```
3
Lattice="4.1117 0.0000 0.0000 -2.0559 3.5608 0.0000 0.0000 0.0000 2.7503" Properties=species:S:1:pos:R:3 pbc="T T T"
Zn 0.0000 2.3739 0.0434
Zn 2.0559 1.1869 2.7069
Ir 0.0000 0.0000 1.3751
```

---

[8]
First-principles (SCAN) data for a PBEsol-optimized structure of BeGeP2, as listed in Alexandria.

Values from the calculation:
**Symmetry**: I-42d, No. 122
**Total magnetization**: 0.00 μB/cell
**Formation enthalpy at 0 K**: -0.340 eV/atom

extended XYZ file:
```
16
Lattice="5.1589 0.0000 0.0000 0.0000 5.1589 0.0000 0.0000 0.0000 10.3596" Properties=species:S:1:pos:R:3 pbc="T T T"
Be 0.0000 0.0000 0.0000
Be 0.0000 2.5795 2.5899
Be 2.5795 0.0000 7.7697
Be 2.5795 2.5795 5.1798
Ge 0.0000 0.0000 5.1798
Ge 0.0000 2.5795 7.7697
Ge 2.5795 0.0000 2.5899
Ge 2.5795 2.5795 0.0000
P 1.1428 1.2897 1.2950
P 1.2897 3.7222 3.8849
P 1.2897 4.0161 9.0647
P 1.4367 1.2897 6.4748
P 3.7222 3.8692 6.4748
P 3.8692 1.1428 9.0647
P 3.8692 1.4367 3.8849
P 4.0161 3.8692 1.2950
```